No. 1
# NaInCl2

A geometry-optimized NaInCl2 structure (GGA-PBE, Alexandria).

Unit cell a=8.8438 b=8.8438 c=8.8438 alpha=31.46 beta=31.46 gamma=31.46
Sites, in units of the cell vectors:
Na (0.0000, 0.0000, 0.0000)
In (0.5000, 0.5000, 0.5000)
Cl (0.0992, 0.0992, 0.0992)
Cl (0.9008, 0.9008, 0.9008)

## Properties
V = 167.2 Å³/f.u.
ΔE to the lowest computed polymorph = 0.844 eV/f.u.
E_form (uncorrected) = -1.0702 eV per atom
Calculated total energy = -3.01 eV/atom

---

No. 2
# La2TbPt

A geometry-optimized La2TbPt structure (GGA-PBE, Alexandria).

Unit cell a=10.8957 b=10.8957 c=10.8957 alpha=20.43 beta=20.43 gamma=20.43
Sites, in units of the cell vectors:
La (0.1085, 0.1085, 0.1085)
La (0.8915, 0.8915, 0.8915)
Tb (0.0000, 0.0000, 0.0000)
Pt (0.5000, 0.5000, 0.5000)

## Properties
E_form = -0.29 eV per atom
V = 137.9 Å³/f.u.
ΔE to the lowest computed polymorph = 1.441 eV/f.u.
Calculated total energy = -5.42 eV/atom

---

No. 3
# ReIr3N

A geometry-optimized ReIr3N structure (GGA-PBE, Alexandria).

Unit cell a=4.7582 b=4.7582 c=4.7582 alpha=90.00 beta=90.00 gamma=90.00
Sites, in units of the cell vectors:
Re (0.0000, 0.0000, 0.0000)
Ir (0.0000, 0.0000, 0.5000)
Ir (0.0000, 0.5000, 0.0000)
Ir (0.5000, 0.0000, 0.0000)
N (0.5000, 0.5000, 0.5000)

## Properties
V = 107.7 Å³/f.u.
ΔE to the lowest computed polymorph = 9.479 eV/f.u.
E_form (uncorrected) = 2.8210 eV per atom
Calculated total energy = -6.65 eV/atom

---

No. 4
# Ac4Br3F7

A geometry-optimized Ac4Br3F7 structure (GGA-PBE, Alexandria).

Unit cell a=8.5464 b=8.5464 c=9.8053 alpha=112.18 beta=112.18 gamma=28.55
Sites, in units of the cell vectors:
Ac (0.1186, 0.1186, 0.4195)
Ac (0.3229, 0.3229, 0.8922)
Ac (0.6771, 0.6771, 0.1078)
Ac (0.8814, 0.8814, 0.5805)
Br (0.0000, 0.0000, 0.0000)
Br (0.3375, 0.3375, 0.2991)
Br (0.6625, 0.6625, 0.7009)
F (0.0000, 0.0000, 0.5000)
F (0.1928, 0.1928, 0.9692)
F (0.2797, 0.2797, 0.6068)
F (0.4470, 0.4470, 0.7009)
F (0.5530, 0.5530, 0.2991)
F (0.7203, 0.7203, 0.3932)
F (0.8072, 0.8072, 0.0308)

## Properties
V = 315.2 Å³/f.u.
E_form (uncorrected) = -3.2228 eV per atom
Calculated total energy = -5.69 eV/atom

---

No. 5
# Y2Tc3Mo

A geometry-optimized Y2Tc3Mo structure (GGA-PBE, Alexandria).

Unit cell a=5.4063 b=5.4063 c=5.4063 alpha=60.88 beta=60.88 gamma=60.88
Sites, in units of the cell vectors:
Y (0.1247, 0.1247, 0.1247)
Y (0.8753, 0.8753, 0.8753)
Tc (0.0000, 0.5000, 0.5000)
Tc (0.5000, 0.0000, 0.5000)
Tc (0.5000, 0.5000, 0.0000)
Mo (0.5000, 0.5000, 0.5000)

## Properties
E_form = -0.11 eV per atom
V = 113.9 Å³/f.u.
Calculated total energy = -9.25 eV/atom

---

No. 6
# BaSiPPt6

A geometry-optimized BaSiPPt6 structure (GGA-PBE, Alexandria).

Unit cell a=8.1153 b=8.1153 c=8.1153 alpha=123.16 beta=117.72 gamma=89.31
Sites, in units of the cell vectors:
Ba (0.3924, 0.1424, 0.2500)
Ba (0.6076, 0.8576, 0.7500)
Si (0.0000, 0.0000, 0.5000)
Si (0.0000, 0.5000, 0.0000)
P (0.0000, 0.5000, 0.5000)
P (0.5000, 0.5000, 0.0000)
Pt (0.0980, 0.4032, 0.2473)
Pt (0.0980, 0.8507, 0.6948)
Pt (0.1142, 0.8642, 0.2500)
Pt (0.3305, 0.5805, 0.7500)
Pt (0.3441, 0.1493, 0.7473)
Pt (0.3441, 0.5968, 0.1948)
Pt (0.6559, 0.4032, 0.8052)
Pt (0.6559, 0.8507, 0.2527)
Pt (0.6695, 0.4195, 0.2500)
Pt (0.8858, 0.1358, 0.7500)
Pt (0.9020, 0.1493, 0.3052)
Pt (0.9020, 0.5968, 0.7527)

## Properties
V = 187.2 Å³/f.u.
E_form (uncorrected) = -0.4717 eV per atom
Calculated total energy = -5.92 eV/atom

---

No. 7
# RbNa4Sn

A geometry-optimized RbNa4Sn structure (GGA-PBE, Alexandria).

Unit cell a=7.0153 b=6.6841 c=9.5975 alpha=90.00 beta=90.00 gamma=90.00
Sites, in units of the cell vectors:
Rb (0.0000, 0.2448, 0.0000)
Rb (0.5000, 0.7552, 0.5000)
Na (0.0000, 0.0108, 0.6227)
Na (0.0000, 0.7266, 0.2745)
Na (0.2486, 0.3019, 0.3762)
Na (0.2514, 0.6981, 0.8762)
Na (0.5000, 0.2734, 0.7745)
Na (0.5000, 0.9892, 0.1227)
Na (0.7486, 0.6981, 0.8762)
Na (0.7514, 0.3019, 0.3762)
Sn (0.0000, 0.5079, 0.6216)
Sn (0.5000, 0.4921, 0.1216)

## Properties
E_form = -0.08 eV per atom
V = 225.0 Å³/f.u.
ΔE to the lowest computed polymorph = 0.000 eV/f.u.
Calculated total energy = -1.78 eV/atom

---

No. 8
# Be2TcAu

A geometry-optimized Be2TcAu structure (GGA-PBE, Alexandria).

Unit cell a=3.3609 b=4.6325 c=4.6325 alpha=41.15 beta=90.00 gamma=90.00
Sites, in units of the cell vectors:
Be (0.0000, 0.0000, 0.0000)
Be (0.5000, 0.1591, 0.1591)
Tc (0.0000, 0.7130, 0.7130)
Au (0.5000, 0.4323, 0.4323)

## Properties
E_form = -0.09 eV per atom
V = 47.5 Å³/f.u.
ΔE to the lowest computed polymorph = 0.083 eV/f.u.
Calculated total energy = -5.36 eV/atom

---

No. 9
# Al2SbPd

A geometry-optimized Al2SbPd structure (GGA-PBE, Alexandria).

Unit cell a=8.9176 b=8.9176 c=8.9176 alpha=150.56 beta=150.56 gamma=42.11
Sites, in units of the cell vectors:
Al (0.0432, 0.6250, 0.9182)
Al (0.3750, 0.2932, 0.4182)
Al (0.7068, 0.1250, 0.0818)
Al (0.8750, 0.9568, 0.5818)
Sb (0.2500, 0.7500, 0.5000)
Sb (0.5000, 0.5000, 0.0000)
Pd (0.0000, 0.0000, 0.0000)
Pd (0.7500, 0.2500, 0.5000)

## Properties
V = 85.4 Å³/f.u.
E_form (uncorrected) = -0.1756 eV per atom
Calculated total energy = -4.38 eV/atom

---

No. 10
# LiTl2Hg

A geometry-optimized LiTl2Hg structure (GGA-PBE, Alexandria).

Unit cell a=4.1219 b=4.9502 c=5.0588 alpha=90.00 beta=90.00 gamma=90.00
Sites, in units of the cell vectors:
Li (0.0000, 0.0000, 0.0000)
Tl (0.0000, 0.5000, 0.5000)
Tl (0.5000, 0.5000, 0.0000)
Hg (0.5000, 0.0000, 0.5000)

## Properties
E_form = -0.09 eV per atom
V = 103.2 Å³/f.u.
ΔE to the lowest computed polymorph = 0.171 eV/f.u.
Calculated total energy = -1.83 eV/atom

---

No. 11
# PmGdScAg

A geometry-optimized PmGdScAg structure (GGA-PBE, Alexandria).

Unit cell a=5.3343 b=5.3343 c=5.3343 alpha=60.00 beta=60.00 gamma=60.00
Sites, in units of the cell vectors:
Pm (0.0000, 0.0000, 0.0000)
Gd (0.5000, 0.5000, 0.5000)
Sc (0.7500, 0.7500, 0.7500)
Ag (0.2500, 0.2500, 0.2500)

## Properties
E_form = 0.03 eV per atom
V = 107.3 Å³/f.u.
Calculated total energy = -6.97 eV/atom

---

No. 12
# NdTm6Sc2

A geometry-optimized NdTm6Sc2 structure (GGA-PBE, Alexandria).

Unit cell a=8.5569 b=8.5569 c=8.5569 alpha=46.25 beta=46.25 gamma=46.25
Sites, in units of the cell vectors:
Nd (0.0000, 0.0000, 0.0000)
Tm (0.0510, 0.0534, 0.5621)
Tm (0.0534, 0.5621, 0.0510)
Tm (0.2798, 0.7728, 0.2822)
Tm (0.2822, 0.2798, 0.7728)
Tm (0.5621, 0.0510, 0.0534)
Tm (0.7728, 0.2822, 0.2798)
Sc (0.5860, 0.5860, 0.5860)
Sc (0.7553, 0.7553, 0.7553)

## Properties
E_form = 0.45 eV per atom
V = 298.3 Å³/f.u.
ΔE to the lowest computed polymorph = 3.519 eV/f.u.
Calculated total energy = -4.46 eV/atom